# Ba2TmP3Pt12

Ba2TmP3Pt12 after structural relaxation (PBE, the Alexandria database).

Calculated values
- ΔE_f: -0.399 eV/atom
- Spin magnetization: 0.00 μB per formula unit
- Calculated density: 12.4 g/cm3
- Total energy: -104.2 eV for the cell shown

The structure in POSCAR format:
```
Ba2TmP3Pt12
1.0
7.9192 -0.2682 -0.1902
3.6777 7.0186 -0.1902
3.6777 2.1407 6.6869
Pt P Ba Tm
12 3 2 1
direct
0.6696 0.0915 0.6696 Pt
0.1273 0.1273 0.6112 Pt
0.3888 0.8727 0.8727 Pt
0.0915 0.6696 0.6696 Pt
0.3304 0.3304 0.9085 Pt
0.1273 0.6112 0.1273 Pt
0.6696 0.6696 0.0915 Pt
0.9085 0.3304 0.3304 Pt
0.8727 0.8727 0.3888 Pt
0.8727 0.3888 0.8727 Pt
0.3304 0.9085 0.3304 Pt
0.6112 0.1273 0.1273 Pt
0.0000 0.5000 0.0000 P
0.5000 0.0000 0.0000 P
0.0000 0.0000 0.5000 P
0.6043 0.6043 0.6043 Ba
0.3957 0.3957 0.3957 Ba
0.0000 0.0000 0.0000 Tm
```